Record 1
A plane-wave DFT calculation with PBE was carried out for Ac2PdPb2 after structural relaxation.

## Properties
Space-group type ... No. 12
DOS at the Fermi energy ... 0.578 states/eV/atom
Total magnetic moment ... 0.00 μB per atom
Energy relative to the elements ... -617 meV/atom

```
Ac2PdPb2
1.0
-1.790 2.188 -4.016
3.024 -1.890 -5.382
-8.184 -6.819 -3.070
Ac Pd Pb
4 2 4
Cartesian
-3.038 -1.391 -5.410 Ac
-8.067 -4.420 -7.823 Ac
-3.913 -5.130 -7.058 Ac
1.116 -2.100 -4.645 Ac
-6.165 -3.564 -5.200 Pd
-0.785 -2.956 -7.268 Pd
-3.964 -4.022 -3.428 Pb
-5.846 -6.187 -9.775 Pb
-2.987 -2.498 -9.040 Pb
-1.104 -0.334 -2.693 Pb
```


Record 2
A plane-wave DFT calculation with PBE was carried out for AcPd4Pb8 after structural relaxation.

## Properties
Space-group type ... No. 139
DOS at the Fermi energy ... 0.534 states/eV/atom
Total magnetic moment ... 0.00 μB per atom
Energy relative to the elements ... -201 meV/atom

```
AcPd4Pb8
1.0
6.240 0.000 0.000
3.120 7.280 0.000
3.120 0.000 7.280
Ac Pd Pb
1 4 8
Cartesian
0.000 0.000 0.000 Ac
1.560 0.000 3.640 Pd
4.680 0.000 3.640 Pd
1.560 3.640 0.000 Pd
4.680 3.640 0.000 Pd
3.120 2.474 4.807 Pb
3.120 4.807 2.474 Pb
6.240 4.807 4.807 Pb
6.240 2.474 2.474 Pb
6.240 5.694 1.586 Pb
6.240 1.586 5.694 Pb
3.120 1.586 1.586 Pb
9.360 5.694 5.694 Pb
```


Record 3
A plane-wave DFT calculation with PBE was carried out for AcPd4Pb2 after structural relaxation.

## Properties
Space-group type ... No. 12
DOS at the Fermi energy ... 0.350 states/eV/atom
Total magnetic moment ... 0.00 μB per atom
Energy relative to the elements ... -466 meV/atom

```
AcPd4Pb2
1.0
-0.271 -1.664 5.577
-2.128 -5.562 1.575
5.653 0.870 -1.107
Ac Pd Pb
1 4 2
Cartesian
0.000 0.000 0.000 Ac
3.966 -4.105 3.392 Pd
-0.712 -2.251 2.653 Pd
2.539 -2.731 5.353 Pd
0.715 -3.625 0.692 Pd
1.047 -4.533 3.481 Pb
2.207 -1.824 2.564 Pb
```


Record 4
A plane-wave DFT calculation with PBE was carried out for AcPd12Pb4 after structural relaxation.

## Properties
Space-group type ... No. 204
DOS at the Fermi energy ... 0.286 states/eV/atom
Total magnetic moment ... 0.00 μB per atom
Energy relative to the elements ... 44 meV/atom

```
AcPd12Pb4
1.0
7.902 0.000 0.000
-2.634 7.450 0.000
-2.634 -3.725 6.452
Ac Pd Pb
1 12 4
Cartesian
0.000 0.000 0.000 Ac
5.261 1.867 1.348 Pd
1.101 3.190 0.943 Pd
4.167 -1.313 4.161 Pd
0.007 -1.624 5.509 Pd
-1.533 5.038 2.291 Pd
1.533 0.535 5.509 Pd
2.641 -0.234 2.291 Pd
-0.007 3.959 4.161 Pd
2.627 5.349 0.943 Pd
3.735 2.947 3.218 Pd
-1.101 0.778 3.234 Pd
-2.627 1.858 5.104 Pd
-1.317 3.725 0.000 Pb
3.951 0.000 0.000 Pb
1.317 1.863 3.226 Pb
-1.317 -1.863 3.226 Pb
```


Record 5
A plane-wave DFT calculation with PBE was carried out for Ac3Pd6Pb5 after structural relaxation.

## Properties
Space-group type ... No. 71
DOS at the Fermi energy ... 0.533 states/eV/atom
Total magnetic moment ... 0.00 μB per atom
Energy relative to the elements ... -573 meV/atom

```
Ac3Pd6Pb5
1.0
4.778 0.000 1.307
1.783 8.236 2.868
0.134 0.274 8.896
Ac Pd Pb
3 6 5
Cartesian
0.000 0.000 0.000 Ac
3.876 2.683 4.604 Ac
2.819 5.827 8.467 Ac
3.653 5.726 5.421 Pd
3.043 2.783 7.649 Pd
5.023 3.440 9.798 Pd
1.673 5.070 3.273 Pd
5.776 7.076 7.045 Pd
0.920 1.434 6.026 Pd
4.544 5.807 11.551 Pb
2.152 2.702 1.519 Pb
5.056 8.280 9.680 Pb
1.640 0.230 3.391 Pb
0.959 4.255 5.882 Pb
```


Record 6
A plane-wave DFT calculation with PBE was carried out for AcPdPb after structural relaxation.

## Properties
Space-group type ... No. 187
DOS at the Fermi energy ... 0.249 states/eV/atom
Total magnetic moment ... 0.00 μB per atom
Energy relative to the elements ... -678 meV/atom

```
AcPdPb
1.0
4.004 0.000 0.000
0.000 4.941 0.000
0.000 -2.470 4.279
Pb Ac Pd
1 1 1
Cartesian
0.667 0.000 2.853 Pb
2.669 2.470 1.426 Ac
0.668 0.000 0.000 Pd
```


Record 7
A plane-wave DFT calculation with PBE was carried out for AcPdPb after structural relaxation.

## Properties
Space-group type ... No. 107
DOS at the Fermi energy ... 0.777 states/eV/atom
Total magnetic moment ... 0.00 μB per atom
Energy relative to the elements ... -446 meV/atom

```
AcPdPb
1.0
3.697 0.000 0.000
0.000 3.697 0.000
-1.848 -1.848 6.034
Pb Ac Pd
1 1 1
Cartesian
1.848 1.848 2.356 Pb
1.848 1.848 5.823 Ac
0.000 0.000 3.889 Pd
```


Record 8
A plane-wave DFT calculation with PBE was carried out for AcPd4Pb6 after structural relaxation.

## Properties
Space-group type ... No. 121
DOS at the Fermi energy ... 0.695 states/eV/atom
Total magnetic moment ... 0.00 μB per atom
Energy relative to the elements ... -301 meV/atom

```
AcPd4Pb6
1.0
7.388 -0.164 -0.241
-3.561 6.475 0.241
-3.561 -2.157 6.110
Ac Pd Pb
1 4 6
Cartesian
0.000 0.000 0.000 Ac
-3.050 0.324 3.758 Pd
1.963 1.600 2.353 Pd
-3.050 3.375 1.683 Pd
-2.719 3.174 4.668 Pd
-5.033 4.554 3.467 Pb
-5.033 1.550 5.510 Pb
3.967 0.408 0.600 Pb
1.913 -1.160 2.935 Pb
-0.757 1.961 2.884 Pb
1.913 3.156 0.000 Pb
```


Record 9
A plane-wave DFT calculation with PBE was carried out for AcPd8Pb2 after structural relaxation.

## Properties
Space-group type ... No. 123
DOS at the Fermi energy ... 0.568 states/eV/atom
Total magnetic moment ... 0.00 μB per atom
Energy relative to the elements ... -69 meV/atom

```
AcPd8Pb2
1.0
-4.215 -2.555 -2.413
-1.718 -1.789 4.895
-4.799 7.068 0.899
Ac Pd Pb
1 8 2
Cartesian
-5.366 1.362 1.690 Ac
-5.620 -1.602 2.087 Pd
-7.263 3.022 0.062 Pd
-8.139 2.109 2.560 Pd
-4.743 -0.689 -0.410 Pd
-3.469 -0.299 3.319 Pd
-5.989 3.412 3.791 Pd
-2.593 0.614 0.821 Pd
-5.112 4.325 1.294 Pd
-2.107 -1.277 -1.207 Pb
-0.859 -0.895 2.448 Pb
```


Record 10
A plane-wave DFT calculation with PBE was carried out for Ac2Pd5Pb2 after structural relaxation.

## Properties
Space-group type ... No. 123
DOS at the Fermi energy ... 0.446 states/eV/atom
Total magnetic moment ... 0.00 μB per atom
Energy relative to the elements ... -555 meV/atom

```
Ac2Pd5Pb2
1.0
4.835 0.000 0.000
0.000 4.835 0.000
0.000 0.000 9.112
Ac Pd Pb
2 5 2
Cartesian
0.000 0.000 0.000 Ac
0.000 0.000 4.556 Ac
2.417 0.000 2.696 Pd
2.417 0.000 6.416 Pd
2.417 2.417 4.556 Pd
0.000 2.417 2.696 Pd
0.000 2.417 6.416 Pd
2.417 2.417 1.497 Pb
2.417 2.417 7.615 Pb
```


Record 11
A plane-wave DFT calculation with PBE was carried out for AcPd6Pb after structural relaxation.

## Properties
Space-group type ... No. 123
DOS at the Fermi energy ... 0.195 states/eV/atom
Total magnetic moment ... 0.00 μB per atom
Energy relative to the elements ... -491 meV/atom

```
AcPd6Pb
1.0
4.254 0.000 0.000
0.000 4.254 0.000
0.000 0.000 8.289
Ac Pd Pb
1 6 1
Cartesian
0.000 0.000 4.144 Ac
2.127 2.127 0.000 Pd
2.127 2.127 4.144 Pd
2.127 0.000 1.957 Pd
2.127 0.000 6.332 Pd
0.000 2.127 1.957 Pd
0.000 2.127 6.332 Pd
0.000 0.000 0.000 Pb
```


Record 12
A plane-wave DFT calculation with PBE was carried out for Ac6Pd4Pb after structural relaxation.

## Properties
Space-group type ... No. 63
DOS at the Fermi energy ... 0.665 states/eV/atom
Total magnetic moment ... 0.00 μB per atom
Energy relative to the elements ... -673 meV/atom

```
Ac6Pd4Pb
1.0
4.553 0.000 0.000
-2.277 7.298 0.000
0.000 0.000 22.460
Ac Pd Pb
12 8 2
Cartesian
2.277 0.000 0.000 Ac
2.277 0.000 11.230 Ac
0.000 0.549 7.664 Ac
2.277 6.749 14.796 Ac
2.277 6.749 18.893 Ac
0.000 0.549 3.566 Ac
2.277 3.907 9.347 Ac
0.000 3.391 13.113 Ac
0.000 3.391 20.576 Ac
2.277 3.907 1.883 Ac
0.000 4.801 5.615 Ac
2.277 2.497 16.845 Ac
2.277 5.303 12.139 Pd
0.000 5.875 2.757 Pd
0.000 1.995 10.320 Pd
2.277 1.423 19.702 Pd
2.277 5.303 21.550 Pd
0.000 1.995 0.910 Pd
2.277 1.423 13.987 Pd
0.000 5.875 8.472 Pd
2.277 2.251 5.615 Pb
0.000 5.047 16.845 Pb
```